DFT (PBE-GGA) results for a relaxed structure of Pr4YS6.

Values from the calculation:
- Symmetry: No. 167
- Crystal system: trigonal

abc: 8.0686 8.0686 8.0686
angles: 89.07 89.07 90.93
Closest atoms and distances in Å follow each position.
Atoms (fractional coordinates):
Pr (0.3711, 0.1289, 0.2500)  8 S 2.91-3.17
Pr (0.8711, 0.2500, 0.3711)  8 S 2.91-3.17
Pr (0.2500, 0.6289, 0.1289)  8 S 2.91-3.17
Pr (0.2500, 0.2500, 0.7500)  6 S 2.88
Pr (0.7500, 0.7500, 0.2500)  6 S 2.88
Pr (0.7500, 0.3711, 0.8711)  8 S 2.91-3.17
Pr (0.1289, 0.7500, 0.6289)  8 S 2.91-3.17
Pr (0.6289, 0.8711, 0.7500)  8 S 2.91-3.17
Y (0.5000, 0.5000, 0.5000)  6 S 2.67
Y (0.0000, 0.0000, 0.0000)  6 S 2.67
S (0.6859, 0.0613, 0.0841)  1 Y 2.67, 2 Pr 2.88-2.91
S (0.0841, 0.3141, 0.0613)  1 Y 2.67, 2 Pr 2.88-2.91
S (0.5841, 0.4387, 0.1859)  1 Y 2.67, 2 Pr 2.88-2.91
S (0.9387, 0.0841, 0.6859)  1 Y 2.67, 2 Pr 2.88-2.91
S (0.5613, 0.1859, 0.5841)  1 Y 2.67, 2 Pr 2.88-2.91
S (0.1859, 0.4159, 0.4387)  1 Y 2.67, 2 Pr 2.88-2.91
S (0.8141, 0.5841, 0.5613)  1 Y 2.67, 2 Pr 2.88-2.91
S (0.4387, 0.8141, 0.4159)  1 Y 2.67, 2 Pr 2.88-2.91
S (0.0613, 0.9159, 0.3141)  1 Y 2.67, 2 Pr 2.88-2.91
S (0.4159, 0.5613, 0.8141)  1 Y 2.67, 2 Pr 2.88-2.91
S (0.9159, 0.6859, 0.9387)  1 Y 2.67, 2 Pr 2.88-2.91
S (0.3141, 0.9387, 0.9159)  1 Y 2.67, 2 Pr 2.88-2.91

DFT (PBE-GGA) results for a relaxed structure of Pr4Y3S8.

Values from the calculation:
- Symmetry: No. 12
- Crystal system: monoclinic
- Distance to the lowest polymorph of the same formula: 0.0 meV/atom

abc: 8.0464 8.0330 8.0330
angles: 89.97 120.09 120.09
Closest atoms and distances in Å follow each position.
Atoms (fractional coordinates):
Pr (0.5000, 0.0000, 0.0000)  6 S 2.90
Pr (0.0000, 0.5000, 0.0000)  6 S 2.84
Pr (0.0000, 0.0000, 0.0000)  6 S 2.88-2.89
Pr (0.0000, 0.0000, 0.5000)  6 S 2.84
Y (0.5000, 0.5000, 0.0000)  6 S 2.84
Y (0.5000, 0.0000, 0.5000)  6 S 2.84
Y (0.5000, 0.5000, 0.5000)  6 S 2.77-2.78
S (0.5087, 0.2599, 0.2599)  3 Y 2.78-2.84, 2 Pr 2.89-2.90
S (0.0000, 0.7460, 0.2540)  2 Y 2.84, 3 Pr 2.84-2.88
S (0.0117, 0.2594, 0.2594)  1 Y 2.77, 4 Pr 2.84-2.90
S (0.5000, 0.7445, 0.2555)  3 Y 2.78-2.84, 3 Pr 2.84-2.90
S (0.5000, 0.2555, 0.7445)  3 Y 2.78-2.84, 3 Pr 2.84-2.90
S (0.9883, 0.7406, 0.7406)  1 Y 2.77, 4 Pr 2.84-2.90
S (0.0000, 0.2540, 0.7460)  2 Y 2.84, 3 Pr 2.84-2.88
S (0.4913, 0.7401, 0.7401)  3 Y 2.78-2.84, 2 Pr 2.89-2.90

DFT (PBE-GGA) results for a relaxed structure of PrY2S3.

Values from the calculation:
- Symmetry: No. 71
- Crystal system: orthorhombic

abc: 3.9672 5.6426 6.9132
angles: 114.09 106.67 90.00
Closest atoms and distances in Å follow each position.
Atoms (fractional coordinates):
Pr (0.5000, 0.5000, 0.5000)  6 S 2.82-2.91
Y (0.8388, 0.8388, 0.1775)  6 S 2.77-2.83
Y (0.1612, 0.1612, 0.8225)  6 S 2.77-2.83
S (0.8228, 0.3228, 0.1457)  4 Y 2.77-2.83, 2 Pr 2.91
S (0.1772, 0.6772, 0.8543)  4 Y 2.77-2.83, 2 Pr 2.91
S (0.5000, 0.0000, 0.5000)  4 Y 2.77, 2 Pr 2.82

DFT (PBE-GGA) results for a relaxed structure of Pr2Y2S3.

Values from the calculation:
- Symmetry: No. 12
- Crystal system: monoclinic

abc: 4.0061 6.9591 6.8561
angles: 102.09 90.02 106.75
Closest atoms and distances in Å follow each position.
Atoms (fractional coordinates):
Pr (0.6232, 0.2467, 0.8621)  5 S 2.85-2.89
Pr (0.3768, 0.7533, 0.1379)  5 S 2.85-2.89
Y (0.8700, 0.7400, 0.6326)  4 S 2.73
Y (0.1300, 0.2600, 0.3674)  4 S 2.73
S (0.0000, 0.0000, 0.0000)  2 Y 2.73, 4 Pr 2.88
S (0.7465, 0.4926, 0.2588)  3 Y 2.73, 3 Pr 2.85-2.89
S (0.2535, 0.5074, 0.7412)  3 Y 2.73, 3 Pr 2.85-2.89

DFT (PBE-GGA) results for a relaxed structure of PrY3S6.

Values from the calculation:
- Symmetry: No. 11
- Crystal system: monoclinic

abc: 4.0105 11.1219 11.3976
angles: 71.29 90.00 90.00
Closest atoms and distances in Å follow each position.
Atoms (fractional coordinates):
Pr (0.7500, 0.5487, 0.8057)  8 S 2.92-3.06
Pr (0.2500, 0.4513, 0.1943)  8 S 2.92-3.06
Y (0.7500, 0.1806, 0.9983)  7 S 2.71-2.94
Y (0.2500, 0.8194, 0.0017)  7 S 2.71-2.94
Y (0.7500, 0.9403, 0.6675)  6 S 2.68-2.79
Y (0.2500, 0.0597, 0.3325)  6 S 2.68-2.79
Y (0.7500, 0.6610, 0.4133)  6 S 2.67-2.81
Y (0.2500, 0.3390, 0.5867)  6 S 2.67-2.81
S (0.7500, 0.9777, 0.8886)  4 Y 2.68-2.91
S (0.2500, 0.0223, 0.1114)  4 Y 2.68-2.91
S (0.7500, 0.3044, 0.7490)  3 Y 2.67-2.73, 1 Pr 2.99
S (0.2500, 0.6956, 0.2510)  3 Y 2.67-2.73, 1 Pr 2.99
S (0.7500, 0.8954, 0.4408)  4 Y 2.72-2.79
S (0.2500, 0.1046, 0.5592)  4 Y 2.72-2.79
S (0.7500, 0.4175, 0.4058)  3 Y 2.74-2.81, 2 Pr 3.06
S (0.2500, 0.5825, 0.5942)  3 Y 2.74-2.81, 2 Pr 3.06
S (0.7500, 0.2362, 0.2275)  3 Y 2.79-2.87, 2 Pr 3.05
S (0.2500, 0.7638, 0.7725)  3 Y 2.79-2.87, 2 Pr 3.05
S (0.7500, 0.6174, 0.0368)  3 Pr 2.92-2.97, 2 Y 2.94
S (0.2500, 0.3826, 0.9632)  3 Pr 2.92-2.97, 2 Y 2.94

DFT (PBE-GGA) results for a relaxed structure of Pr3Y5S12.

Values from the calculation:
- Symmetry: No. 230
- Crystal system: cubic

abc: 14.1436 14.1436 14.1436
angles: 109.47 109.47 109.47
Closest atoms and distances in Å follow each position.
Atoms (fractional coordinates):
Pr (0.7500, 0.3750, 0.1250)  8 S 3.04-3.09
Pr (0.8750, 0.7500, 0.1250)  8 S 3.04-3.09
Pr (0.3750, 0.7500, 0.6250)  8 S 3.04-3.09
Pr (0.2500, 0.1250, 0.3750)  8 S 3.04-3.09
Pr (0.8750, 0.1250, 0.2500)  8 S 3.04-3.09
Pr (0.3750, 0.6250, 0.2500)  8 S 3.04-3.09
Pr (0.6250, 0.3750, 0.7500)  8 S 3.04-3.09
Pr (0.1250, 0.8750, 0.7500)  8 S 3.04-3.09
Pr (0.7500, 0.8750, 0.6250)  8 S 3.04-3.09
Pr (0.6250, 0.2500, 0.3750)  8 S 3.04-3.09
Pr (0.1250, 0.2500, 0.8750)  8 S 3.04-3.09
Pr (0.2500, 0.6250, 0.8750)  8 S 3.04-3.09
Y (0.1250, 0.3750, 0.2500)  4 S 2.56
Y (0.0000, 0.5000, 0.0000)  6 S 2.74
Y (0.0000, 0.0000, 0.0000)  6 S 2.74
Y (0.3750, 0.2500, 0.1250)  4 S 2.56
Y (0.5000, 0.0000, 0.5000)  6 S 2.74
Y (0.5000, 0.5000, 0.0000)  6 S 2.74
Y (0.1250, 0.7500, 0.3750)  4 S 2.56
Y (0.7500, 0.1250, 0.8750)  4 S 2.56
Y (0.7500, 0.6250, 0.3750)  4 S 2.56
Y (0.3750, 0.1250, 0.7500)  4 S 2.56
Y (0.6250, 0.8750, 0.2500)  4 S 2.56
Y (0.5000, 0.5000, 0.5000)  6 S 2.74
Y (0.5000, 0.0000, 0.0000)  6 S 2.74
Y (0.0000, 0.0000, 0.5000)  6 S 2.74
Y (0.2500, 0.3750, 0.6250)  4 S 2.56
Y (0.2500, 0.8750, 0.1250)  4 S 2.56
Y (0.0000, 0.5000, 0.5000)  6 S 2.74
Y (0.8750, 0.2500, 0.6250)  4 S 2.56
Y (0.6250, 0.7500, 0.8750)  4 S 2.56
Y (0.8750, 0.6250, 0.7500)  4 S 2.56
S (0.7196, 0.1300, 0.0451)  2 Y 2.56-2.74
S (0.3255, 0.5451, 0.4151)  2 Y 2.56-2.74
S (0.9549, 0.3700, 0.2804)  2 Y 2.56-2.74
S (0.5451, 0.2196, 0.1300)  2 Y 2.56-2.74
S (0.5896, 0.7196, 0.6745)  2 Y 2.56-2.74
S (0.9549, 0.5849, 0.1745)  2 Y 2.56-2.74
S (0.3255, 0.7804, 0.4104)  2 Y 2.56-2.74
S (0.0849, 0.9104, 0.1300)  2 Y 2.56-2.74
S (0.5849, 0.9549, 0.6745)  2 Y 2.56-2.74
S (0.7196, 0.5896, 0.1745)  2 Y 2.56-2.74
S (0.7804, 0.4549, 0.3700)  2 Y 2.56-2.74
S (0.8255, 0.9151, 0.0451)  2 Y 2.56-2.74
S (0.1300, 0.7196, 0.5451)  2 Y 2.56-2.74
S (0.3700, 0.4151, 0.0896)  2 Y 2.56-2.74
S (0.0896, 0.9151, 0.3700)  2 Y 2.56-2.74
S (0.4104, 0.1300, 0.5849)  2 Y 2.56-2.74
S (0.0896, 0.1745, 0.2196)  2 Y 2.56-2.74
S (0.4549, 0.6745, 0.0849)  2 Y 2.56-2.74
S (0.8255, 0.9104, 0.2804)  2 Y 2.56-2.74
S (0.1300, 0.4104, 0.0849)  2 Y 2.56-2.74
S (0.3700, 0.9549, 0.7804)  2 Y 2.56-2.74
S (0.5849, 0.6300, 0.4104)  2 Y 2.56-2.74
S (0.9151, 0.8255, 0.5451)  2 Y 2.56-2.74
S (0.7804, 0.3255, 0.9104)  2 Y 2.56-2.74
S (0.4151, 0.3700, 0.5896)  2 Y 2.56-2.74
S (0.0849, 0.1745, 0.4549)  2 Y 2.56-2.74
S (0.2196, 0.6745, 0.0896)  2 Y 2.56-2.74
S (0.1745, 0.0896, 0.7196)  2 Y 2.56-2.74
S (0.6300, 0.0451, 0.2196)  2 Y 2.56-2.74
S (0.8700, 0.5896, 0.9151)  2 Y 2.56-2.74
S (0.5451, 0.3255, 0.9151)  2 Y 2.56-2.74
S (0.5896, 0.8700, 0.4151)  2 Y 2.56-2.74
S (0.9104, 0.8255, 0.7804)  2 Y 2.56-2.74
S (0.9104, 0.0849, 0.6300)  2 Y 2.56-2.74
S (0.8700, 0.2804, 0.4549)  2 Y 2.56-2.74
S (0.1745, 0.0849, 0.9549)  2 Y 2.56-2.74
S (0.6300, 0.5849, 0.9104)  2 Y 2.56-2.74
S (0.4151, 0.0451, 0.3255)  2 Y 2.56-2.74
S (0.2804, 0.4104, 0.8255)  2 Y 2.56-2.74
S (0.2196, 0.5451, 0.6300)  2 Y 2.56-2.74
S (0.9151, 0.0896, 0.8700)  2 Y 2.56-2.74
S (0.6745, 0.2196, 0.5896)  2 Y 2.56-2.74
S (0.4549, 0.7804, 0.8700)  2 Y 2.56-2.74
S (0.0451, 0.4151, 0.8255)  2 Y 2.56-2.74
S (0.4104, 0.2804, 0.3255)  2 Y 2.56-2.74
S (0.0451, 0.6300, 0.7196)  2 Y 2.56-2.74
S (0.6745, 0.4549, 0.5849)  2 Y 2.56-2.74
S (0.2804, 0.8700, 0.9549)  2 Y 2.56-2.74

DFT (PBE-GGA) results for a relaxed structure of PrY3S4.

Values from the calculation:
- Symmetry: No. 65
- Crystal system: orthorhombic
- Distance to the lowest polymorph of the same formula: 0.0 meV/atom

abc: 3.9259 6.8983 6.8983
angles: 108.96 90.00 90.00
Closest atoms and distances in Å follow each position.
Atoms (fractional coordinates):
Pr (0.5000, 0.0000, 0.0000)  6 S 2.87
Y (0.0000, 0.0000, 0.5000)  6 S 2.81
Y (0.5000, 0.5000, 0.5000)  6 S 2.74
Y (0.0000, 0.5000, 0.0000)  6 S 2.81
S (0.0000, 0.2617, 0.2617)  4 Y 2.74-2.81, 2 Pr 2.87
S (0.5000, 0.7443, 0.2557)  5 Y 2.74-2.81, 1 Pr 2.87
S (0.0000, 0.7383, 0.7383)  4 Y 2.74-2.81, 2 Pr 2.87
S (0.5000, 0.2557, 0.7443)  5 Y 2.74-2.81, 1 Pr 2.87

DFT (PBE-GGA) results for a relaxed structure of PrY5S6.

Values from the calculation:
- Symmetry: No. 12
- Crystal system: monoclinic

abc: 6.8349 6.8447 6.8523
angles: 60.04 80.33 70.35
Closest atoms and distances in Å follow each position.
Atoms (fractional coordinates):
Pr (0.0000, 0.0000, 0.0000)  6 S 2.86-2.88
Y (0.5000, 0.1616, 0.6768)  6 S 2.75-2.80
Y (0.0000, 0.3347, 0.3306)  6 S 2.77-2.80
Y (0.5000, 0.5000, 0.0000)  6 S 2.73-2.80
Y (0.0000, 0.6653, 0.6694)  6 S 2.77-2.80
Y (0.5000, 0.8384, 0.3232)  6 S 2.75-2.80
S (0.7435, 0.0850, 0.3442)  5 Y 2.75-2.80, 1 Pr 2.88
S (0.2565, 0.5707, 0.3442)  5 Y 2.75-2.80, 1 Pr 2.88
S (0.2534, 0.2587, 0.0000)  5 Y 2.73-2.77, 1 Pr 2.86
S (0.7466, 0.7413, 0.0000)  5 Y 2.73-2.77, 1 Pr 2.86
S (0.7435, 0.4293, 0.6558)  5 Y 2.75-2.80, 1 Pr 2.88
S (0.2565, 0.9150, 0.6558)  5 Y 2.75-2.80, 1 Pr 2.88

DFT (PBE-GGA) results for a relaxed structure of PrYS3.

Values from the calculation:
- Symmetry: No. 11
- Crystal system: monoclinic
- Distance to the lowest polymorph of the same formula: 22.7 meV/atom

abc: 3.9900 7.9092 7.9081
angles: 94.56 90.00 90.00
Closest atoms and distances in Å follow each position.
Atoms (fractional coordinates):
Pr (0.2500, 0.3771, 0.2294)  8 S 2.84-3.11
Pr (0.7500, 0.6229, 0.7706)  8 S 2.84-3.11
Y (0.2500, 0.8527, 0.3241)  6 S 2.63-2.80
Y (0.7500, 0.1473, 0.6759)  6 S 2.63-2.80
S (0.7500, 0.6263, 0.3869)  2 Y 2.75, 3 Pr 3.00-3.04
S (0.2500, 0.3737, 0.6131)  2 Y 2.75, 3 Pr 3.00-3.04
S (0.7500, 0.3176, 0.9758)  1 Y 2.63, 2 Pr 2.84
S (0.2500, 0.9033, 0.6791)  3 Y 2.78-2.80
S (0.2500, 0.6824, 0.0242)  1 Y 2.63, 2 Pr 2.84
S (0.7500, 0.0967, 0.3209)  3 Y 2.78-2.80

DFT (PBE-GGA) results for a relaxed structure of PrY3S4.

Values from the calculation:
- Symmetry: No. 221
- Crystal system: cubic
- Distance to the lowest polymorph of the same formula: 26.1 meV/atom

abc: 5.6178 5.6178 5.6178
angles: 90.00 90.00 90.00
Closest atoms and distances in Å follow each position.
Atoms (fractional coordinates):
Pr (0.0000, 0.0000, 0.0000)  6 S 2.81
Y (0.0000, 0.5000, 0.5000)  6 S 2.81
Y (0.5000, 0.0000, 0.5000)  6 S 2.81
Y (0.5000, 0.5000, 0.0000)  6 S 2.81
S (0.5000, 0.0000, 0.0000)  2 Pr 2.81, 4 Y 2.81
S (0.0000, 0.5000, 0.0000)  2 Pr 2.81, 4 Y 2.81
S (0.0000, 0.0000, 0.5000)  2 Pr 2.81, 4 Y 2.81
S (0.5000, 0.5000, 0.5000)  6 Y 2.81

DFT (PBE-GGA) results for a relaxed structure of Pr4YS5.

Values from the calculation:
- Symmetry: No. 139
- Crystal system: tetragonal

abc: 4.0685 4.0685 14.6996
angles: 97.95 97.95 90.00
Closest atoms and distances in Å follow each position.
Atoms (fractional coordinates):
Pr (0.3992, 0.3992, 0.7984)  6 S 2.88-2.91
Pr (0.8033, 0.8033, 0.6065)  6 S 2.88-2.93
Pr (0.1967, 0.1967, 0.3935)  6 S 2.88-2.93
Pr (0.6008, 0.6008, 0.2016)  6 S 2.88-2.91
Y (0.0000, 0.0000, 0.0000)  6 S 2.76-2.88
S (0.0959, 0.0959, 0.1917)  1 Y 2.76, 5 Pr 2.88-2.91
S (0.5000, 0.5000, 0.0000)  4 Y 2.88, 2 Pr 2.91
S (0.9041, 0.9041, 0.8083)  1 Y 2.76, 5 Pr 2.88-2.91
S (0.2983, 0.2983, 0.5966)  6 Pr 2.88-2.93
S (0.7017, 0.7017, 0.4034)  6 Pr 2.88-2.93

DFT (PBE-GGA) results for a relaxed structure of PrY4S6.

Values from the calculation:
- Symmetry: No. 63
- Crystal system: orthorhombic

abc: 3.8929 6.7482 19.9796
angles: 90.00 90.00 106.76
Closest atoms and distances in Å follow each position.
Atoms (fractional coordinates):
Pr (0.6537, 0.3073, 0.2500)  6 S 2.86-2.93
Pr (0.3463, 0.6927, 0.7500)  6 S 2.86-2.93
Y (0.8613, 0.7226, 0.5395)  6 S 2.75-2.83
Y (0.4078, 0.8157, 0.1267)  6 S 2.74-2.80
Y (0.1387, 0.2774, 0.4605)  6 S 2.75-2.83
Y (0.5922, 0.1843, 0.8733)  6 S 2.74-2.80
Y (0.8613, 0.7226, 0.9605)  6 S 2.75-2.83
Y (0.1387, 0.2774, 0.0395)  6 S 2.75-2.83
Y (0.5922, 0.1843, 0.6267)  6 S 2.74-2.80
Y (0.4078, 0.8157, 0.3733)  6 S 2.74-2.80
S (0.5000, 0.0000, 0.0000)  6 Y 2.76-2.80
S (0.5000, 0.0000, 0.5000)  6 Y 2.76-2.80
S (0.0473, 0.0946, 0.3353)  3 Y 2.76-2.77, 2 Pr 2.93
S (0.9527, 0.9054, 0.6647)  3 Y 2.76-2.77, 2 Pr 2.93
S (0.9527, 0.9054, 0.8353)  3 Y 2.76-2.77, 2 Pr 2.93
S (0.0473, 0.0946, 0.1647)  3 Y 2.76-2.77, 2 Pr 2.93
S (0.7686, 0.5372, 0.4113)  5 Y 2.75-2.83
S (0.2314, 0.4628, 0.5887)  5 Y 2.75-2.83
S (0.2314, 0.4628, 0.9113)  5 Y 2.75-2.83
S (0.7686, 0.5372, 0.0887)  5 Y 2.75-2.83
S (0.3154, 0.6309, 0.2500)  2 Y 2.74, 2 Pr 2.86
S (0.6846, 0.3691, 0.7500)  2 Y 2.74, 2 Pr 2.86

Formation energy without anion corrections across the listed records, respectively: -1.91 -2.02 -2.00 -1.72 -2.09 -1.92 -2.00 -2.00 -2.06 -1.97 -2.00 -2.05 eV per atom.